i.
Computed, not measured: CrReAg2 after structural relaxation at the PBE level of DFT.

V ... 15.76 Å³/atom
Total magnetization ... 0.81 Bohr magnetons per cell
Space group ... No. 139

POSCAR file:
```
CrReAg2
1.0
5.2053 -0.0439 0.0000
2.5403 4.5435 0.0000
-3.8728 -2.2498 2.6526
Ag Cr Re
2 1 1
direct
0.0000 0.0000 0.0000
0.5000 0.5000 0.0000
0.2500 0.7500 0.5000
0.7500 0.2500 0.5000
```

=====

ii.
Computed, not measured: CrReAg2 after structural relaxation at the PBE level of DFT.

V ... 15.59 Å³/atom
Total magnetization ... 0.00 Bohr magnetons per cell
Space group ... No. 65

POSCAR file:
```
CrReAg2
1.0
-0.9786 1.6806 -1.7723
1.2404 -1.9493 -1.2588
-8.1110 -4.9947 -0.2578
Ag Cr Re
2 1 1
direct
0.0000 0.0000 0.0085
0.0000 0.0000 0.4915
0.5000 0.5000 0.2500
0.5000 0.5000 0.7500
```

=====

Result of the stability comparison: ii is the least stable of them.

=====

i.
Computed, not measured: CrReAg2 after structural relaxation at the PBE level of DFT.

V ... 16.20 Å³/atom
Total magnetization ... 0.00 Bohr magnetons per cell
Space group ... No. 44

POSCAR file:
```
CrReAg2
1.0
-4.5648 -2.5436 0.8871
0.2392 -5.2929 -0.1472
1.6811 4.4413 2.3542
Ag Cr Re
2 1 1
direct
0.0086 0.0086 0.0000
0.7348 0.2348 0.5000
0.4709 0.4709 0.0000
0.2858 0.7858 0.5000
```

=====

ii.
Computed, not measured: CrReAg2 after structural relaxation at the PBE level of DFT.

V ... 15.97 Å³/atom
Total magnetization ... 1.17 Bohr magnetons per cell
Space group ... No. 160

POSCAR file:
```
CrReAg2
1.0
9.3548 0.0171 0.0100
8.9216 2.8135 0.0100
8.9216 1.3818 2.4509
Ag Cr Re
2 1 1
direct
0.0020 0.0020 0.0020
0.2450 0.2450 0.2450
0.4932 0.4932 0.4932
0.7598 0.7598 0.7598
```

=====

iii.
Computed, not measured: CrReAg2 after structural relaxation at the PBE level of DFT.

V ... 15.92 Å³/atom
Total magnetization ... 0.00 Bohr magnetons per cell
Space group ... No. 6

POSCAR file:
```
CrReAg2
1.0
-3.3317 -0.4481 -1.7346
-1.1206 -0.8751 2.3785
-2.4606 4.9661 3.4433
Ag Cr Re
2 1 1
direct
0.0000 0.9866 0.9961
0.5000 0.2634 0.2574
0.0000 0.5396 0.5339
0.5000 0.7104 0.7126
```

=====

Result of the stability comparison: i is the least stable of them.

=====

i.
Computed, not measured: CrReAg2 after structural relaxation at the PBE level of DFT.

V ... 16.49 Å³/atom
Total magnetization ... 0.00 Bohr magnetons per cell
Space group ... No. 122

POSCAR file:
```
CrReAg2
1.0
3.6232 0.0000 0.0000
0.0000 3.6232 0.0000
1.8116 1.8116 10.0507
Re Ag Cr
2 4 2
direct
0.0000 0.0000 0.0000
0.7500 0.2500 0.5000
0.6244 0.1250 0.2500
0.1256 0.6250 0.2500
0.3750 0.3756 0.7500
0.8750 0.8744 0.7500
0.5000 0.5000 0.0000
0.2500 0.7500 0.5000
```

=====

ii.
Computed, not measured: CrReAg2 after structural relaxation at the PBE level of DFT.

V ... 16.05 Å³/atom
Total magnetization ... 2.84 Bohr magnetons per cell
Space group ... No. 8

POSCAR file:
```
CrReAg2
1.0
-3.5704 2.4089 2.0922
-4.7354 0.4977 0.5058
-0.6266 -3.0391 4.1214
Ag Cr Re
2 1 1
direct
0.0016 0.0016 0.0073
0.2474 0.2474 0.2388
0.4955 0.4955 0.5328
0.7555 0.7555 0.7211
```

=====

Result of the stability comparison: i is the least stable of them.